Below is an optimized crystal structure of CuPCSe2, with properties calculated at the GGA-PBE level.

SG   No. 123
Formation energy without anion corrections   907 kJ/mol of formula units
Total magnetization   0.6 μB per cell

Unit cell a=4.863 b=4.245 c=4.863 alpha=90.00 beta=90.00 gamma=90.00
Site moments in Bohr magnetons follow the coordinates.
Fractional coordinates of all 5 atoms:
1 C 0.500 0.500 0.500  0.55
2 Se 0.000 0.000 0.500  -0.13
3 Se 0.500 0.000 0.000  -0.11
4 Cu 0.000 0.000 0.000  -0.01
5 P 0.000 0.500 0.000  -0.07